First-principles (PBE+U) data for SmCoAsO after structural relaxation, as listed in the Open Quantum Materials Database.

```
data_SmCoAsO
_chemical_formula_sum 'Sm2 Co2 As2 O2'
_symmetry_space_group_name_H-M 'P m c 21'
_symmetry_Int_Tables_number 26
_symmetry_space_group_name_Hall 'P 2c -2'
_cell_length_a 4.408
_cell_length_b 6.194
_cell_length_c 5.953
_cell_angle_alpha 90.00
_cell_angle_beta 90.00
_cell_angle_gamma 90.00
loop_
_atom_site_label
_atom_site_type_symbol
_atom_site_fract_x
_atom_site_fract_y
_atom_site_fract_z
Sm1 Sm 0.000 0.239 0.000
Co1 Co 0.500 0.379 0.633
As1 As 0.000 0.238 0.501
O1 O 0.500 0.340 0.973
```

Computed properties:
Energy in eV/atom: -6.200